# CaEu2Lu

A relaxed CaEu2Lu crystal (GGA-PBE, Alexandria via LeMat-Bulk).

Cell: 5.7767 5.7767 27.1492 Å, 90.00 90.00 120.00°
With the nearest neighbours (Å) after each atom.
Positions (direct):
Ca 0.0000 0.0000 0.0000  6 Eu 3.54
Ca 0.3333 0.6667 0.6667  6 Eu 3.54
Ca 0.6667 0.3333 0.3333  6 Eu 3.54
Eu 0.0000 0.0000 0.3768  1 Lu 3.34, 3 Ca 3.54
Eu 0.0000 0.0000 0.6232  1 Lu 3.34, 3 Ca 3.54
Eu 0.3333 0.6667 0.0435  1 Lu 3.34, 3 Ca 3.54
Eu 0.3333 0.6667 0.2899  1 Lu 3.34, 3 Ca 3.54
Eu 0.6667 0.3333 0.7101  1 Lu 3.34, 3 Ca 3.54
Eu 0.6667 0.3333 0.9565  1 Lu 3.34, 3 Ca 3.54
Lu 0.0000 0.0000 0.5000  2 Eu 3.34
Lu 0.3333 0.6667 0.1667  2 Eu 3.34
Lu 0.6667 0.3333 0.8333  2 Eu 3.34

Properties
Energy above the most stable polymorph in this dataset in meV per atom: 1205.6
VASP energy in eV/atom: -5.47
Size of the total moment in μB per formula unit: 18.37
Energy of formation from the pure elements in eV/atom: 1.3027